## Zn3Cu5Br12 (GGA-PBE)

Data for Zn3Cu5Br12 after structural relaxation.

Computed properties:
Mass density = 4.412 g/cm³
Magnetization = 0.00 μB/f.u.
Formation energy from raw total energies = -0.33 eV per atom

Lattice parameters (Å, degrees): 14.2285 14.2285 14.2285 109.47 109.47 109.47
Closest atoms and distances in Å follow each position.
Positions (direct):
Zn: 0.1250 0.2500 0.3750  4 Br 2.54
Zn: 0.1250 0.3750 0.7500  4 Br 2.54
Zn: 0.2500 0.3750 0.1250  4 Br 2.54
Zn: 0.2500 0.8750 0.6250  4 Br 2.54
Zn: 0.3750 0.1250 0.2500  4 Br 2.54
Zn: 0.3750 0.7500 0.1250  4 Br 2.54
Zn: 0.6250 0.2500 0.8750  4 Br 2.54
Zn: 0.6250 0.8750 0.7500  4 Br 2.54
Zn: 0.7500 0.1250 0.3750  4 Br 2.54
Zn: 0.7500 0.6250 0.8750  4 Br 2.54
Zn: 0.8750 0.6250 0.2500  4 Br 2.54
Zn: 0.8750 0.7500 0.6250  4 Br 2.54
Cu: 0.0000 0.0000 0.0000  6 Br 2.54
Cu: 0.0000 0.0000 0.5000  6 Br 2.54
Cu: 0.0000 0.5000 0.0000  6 Br 2.54
Cu: 0.0000 0.5000 0.5000  6 Br 2.54
Cu: 0.1250 0.7500 0.8750  4 Br 2.63
Cu: 0.1250 0.8750 0.2500  4 Br 2.63
Cu: 0.2500 0.1250 0.8750  4 Br 2.63
Cu: 0.2500 0.6250 0.3750  4 Br 2.63
Cu: 0.3750 0.2500 0.6250  4 Br 2.63
Cu: 0.3750 0.6250 0.7500  4 Br 2.63
Cu: 0.5000 0.0000 0.0000  6 Br 2.54
Cu: 0.5000 0.0000 0.5000  6 Br 2.54
Cu: 0.5000 0.5000 0.0000  6 Br 2.54
Cu: 0.5000 0.5000 0.5000  6 Br 2.54
Cu: 0.6250 0.3750 0.2500  4 Br 2.63
Cu: 0.6250 0.7500 0.3750  4 Br 2.63
Cu: 0.7500 0.3750 0.6250  4 Br 2.63
Cu: 0.7500 0.8750 0.1250  4 Br 2.63
Cu: 0.8750 0.1250 0.7500  4 Br 2.63
Cu: 0.8750 0.2500 0.1250  4 Br 2.63
Br: 0.0040 0.6511 0.1618  2 Cu 2.54-2.63, 1 Zn 2.54
Br: 0.0040 0.8529 0.8422  2 Cu 2.54-2.63, 1 Zn 2.54
Br: 0.0107 0.1578 0.6618  2 Cu 2.54-2.63, 1 Zn 2.54
Br: 0.0107 0.3529 0.3489  2 Cu 2.54-2.63, 1 Zn 2.54
Br: 0.1471 0.1578 0.9960  2 Cu 2.54-2.63, 1 Zn 2.54
Br: 0.1471 0.4893 0.1511  2 Cu 2.54-2.63, 1 Zn 2.54
Br: 0.1511 0.1471 0.4893  2 Cu 2.54-2.63, 1 Zn 2.54
Br: 0.1511 0.5040 0.6618  2 Cu 2.54-2.63, 1 Zn 2.54
Br: 0.1578 0.6618 0.0107  2 Cu 2.54-2.63, 1 Zn 2.54
Br: 0.1578 0.9960 0.1471  2 Cu 2.54-2.63, 1 Zn 2.54
Br: 0.1618 0.0040 0.6511  2 Cu 2.54-2.63, 1 Zn 2.54
Br: 0.1618 0.6578 0.5107  2 Cu 2.54-2.63, 1 Zn 2.54
Br: 0.3382 0.8489 0.4960  2 Cu 2.54-2.63, 1 Zn 2.54
Br: 0.3382 0.9893 0.8422  2 Cu 2.54-2.63, 1 Zn 2.54
Br: 0.3422 0.3529 0.5040  2 Cu 2.54-2.63, 1 Zn 2.54
Br: 0.3422 0.4893 0.8382  2 Cu 2.54-2.63, 1 Zn 2.54
Br: 0.3489 0.0107 0.3529  2 Cu 2.54-2.63, 1 Zn 2.54
Br: 0.3489 0.8382 0.9960  2 Cu 2.54-2.63, 1 Zn 2.54
Br: 0.3529 0.3489 0.0107  2 Cu 2.54-2.63, 1 Zn 2.54
Br: 0.3529 0.5040 0.3422  2 Cu 2.54-2.63, 1 Zn 2.54
Br: 0.4893 0.1511 0.1471  2 Cu 2.54-2.63, 1 Zn 2.54
Br: 0.4893 0.8382 0.3422  2 Cu 2.54-2.63, 1 Zn 2.54
Br: 0.4960 0.3382 0.8489  2 Cu 2.54-2.63, 1 Zn 2.54
Br: 0.4960 0.6578 0.6471  2 Cu 2.54-2.63, 1 Zn 2.54
Br: 0.5040 0.3422 0.3529  2 Cu 2.54-2.63, 1 Zn 2.54
Br: 0.5040 0.6618 0.1511  2 Cu 2.54-2.63, 1 Zn 2.54
Br: 0.5107 0.1618 0.6578  2 Cu 2.54-2.63, 1 Zn 2.54
Br: 0.5107 0.8489 0.8529  2 Cu 2.54-2.63, 1 Zn 2.54
Br: 0.6471 0.4960 0.6578  2 Cu 2.54-2.63, 1 Zn 2.54
Br: 0.6471 0.6511 0.9893  2 Cu 2.54-2.63, 1 Zn 2.54
Br: 0.6511 0.1618 0.0040  2 Cu 2.54-2.63, 1 Zn 2.54
Br: 0.6511 0.9893 0.6471  2 Cu 2.54-2.63, 1 Zn 2.54
Br: 0.6578 0.5107 0.1618  2 Cu 2.54-2.63, 1 Zn 2.54
Br: 0.6578 0.6471 0.4960  2 Cu 2.54-2.63, 1 Zn 2.54
Br: 0.6618 0.0107 0.1578  2 Cu 2.54-2.63, 1 Zn 2.54
Br: 0.6618 0.1511 0.5040  2 Cu 2.54-2.63, 1 Zn 2.54
Br: 0.8382 0.3422 0.4893  2 Cu 2.54-2.63, 1 Zn 2.54
Br: 0.8382 0.9960 0.3489  2 Cu 2.54-2.63, 1 Zn 2.54
Br: 0.8422 0.0040 0.8529  2 Cu 2.54-2.63, 1 Zn 2.54
Br: 0.8422 0.3382 0.9893  2 Cu 2.54-2.63, 1 Zn 2.54
Br: 0.8489 0.4960 0.3382  2 Cu 2.54-2.63, 1 Zn 2.54
Br: 0.8489 0.8529 0.5107  2 Cu 2.54-2.63, 1 Zn 2.54
Br: 0.8529 0.5107 0.8489  2 Cu 2.54-2.63, 1 Zn 2.54
Br: 0.8529 0.8422 0.0040  2 Cu 2.54-2.63, 1 Zn 2.54
Br: 0.9893 0.6471 0.6511  2 Cu 2.54-2.63, 1 Zn 2.54
Br: 0.9893 0.8422 0.3382  2 Cu 2.54-2.63, 1 Zn 2.54
Br: 0.9960 0.1471 0.1578  2 Cu 2.54-2.63, 1 Zn 2.54
Br: 0.9960 0.3489 0.8382  2 Cu 2.54-2.63, 1 Zn 2.54

## BiRu2I (GGA-PBE)

Data for BiRu2I after structural relaxation.

Computed properties:
Energy relative to the lowest polymorph listed for this composition = 48 meV/atom
Mass density = 8.258 g/cm³
Magnetization = 0.00 μB/f.u.
Formation energy from raw total energies = 0.86 eV per atom

Lattice parameters (Å, degrees): 7.4917 7.4917 7.4917 133.66 133.66 67.62
Closest atoms and distances in Å follow each position.
Positions (direct):
Bi: 0.0000 0.0000 0.0000  4 Ru 2.66
Bi: 0.7500 0.2500 0.5000  4 Ru 2.66
Ru: 0.1428 0.6250 0.0178  2 I 2.54, 2 Bi 2.66
Ru: 0.3750 0.3928 0.5178  2 I 2.54, 2 Bi 2.66
Ru: 0.6072 0.1250 0.9822  2 I 2.54, 2 Bi 2.66
Ru: 0.8750 0.8572 0.4822  2 I 2.54, 2 Bi 2.66
I: 0.2500 0.7500 0.5000  4 Ru 2.54
I: 0.5000 0.5000 0.0000  4 Ru 2.54

## Sm6Bi3SbAs2 (GGA-PBE)

Data for Sm6Bi3SbAs2 after structural relaxation.

Computed properties:
Mass density = 8.120 g/cm³
Magnetization = 0.00 μB/f.u.
Formation energy from raw total energies = -1.15 eV per atom

Lattice parameters (Å, degrees): 9.9158 9.9158 8.8932 103.43 103.43 25.70
Closest atoms and distances in Å follow each position.
Positions (direct):
Sm: 0.0075 0.0075 0.2505  1 As 3.02, 2 Sb 3.11, 3 Bi 3.16-3.22
Sm: 0.3279 0.3279 0.4290  3 As 3.00-3.03, 3 Bi 3.23-3.24
Sm: 0.3323 0.3323 0.9007  2 As 3.04, 1 Sb 3.15, 3 Bi 3.17-3.23
Sm: 0.6677 0.6677 0.0993  2 As 3.04, 1 Sb 3.15, 3 Bi 3.17-3.23
Sm: 0.6721 0.6721 0.5710  3 As 3.00-3.03, 3 Bi 3.23-3.24
Sm: 0.9925 0.9925 0.7495  1 As 3.02, 2 Sb 3.11, 3 Bi 3.16-3.22
Bi: 0.1640 0.1640 0.8316  6 Sm 3.17-3.23
Bi: 0.5000 0.5000 0.5000  6 Sm 3.16-3.24
Bi: 0.8360 0.8360 0.1684  6 Sm 3.17-3.23
Sb: 0.5000 0.5000 0.0000  6 Sm 3.11-3.15
As: 0.1682 0.1682 0.3349  6 Sm 3.00-3.04
As: 0.8318 0.8318 0.6651  6 Sm 3.00-3.04

## BaZnInAg (GGA-PBE)

Data for BaZnInAg after structural relaxation.

Computed properties:
Raw total energy = -2.357 eV/atom
Mass density = 6.581 g/cm³
Magnetization = 0.00 μB/f.u.

Lattice parameters (Å, degrees): 5.3345 5.3345 5.3345 60.00 60.00 60.00
Closest atoms and distances in Å follow each position.
Positions (direct):
Ba: 0.0000 0.0000 0.0000  4 Zn 3.27, 4 Ag 3.27
Zn: 0.2500 0.2500 0.2500  4 Ba 3.27, 4 In 3.27
In: 0.5000 0.5000 0.5000  4 Zn 3.27, 4 Ag 3.27
Ag: 0.7500 0.7500 0.7500  4 Ba 3.27, 4 In 3.27

## AsBr5 (GGA-PBE)

Data for AsBr5 after structural relaxation.

Computed properties:
Mass density = 3.817 g/cm³
Magnetization = 0.25 μB/f.u.
Formation energy from raw total energies = 0.07 eV per atom

Lattice parameters (Å, degrees): 6.9297 6.9297 8.1035 90.00 90.00 147.97
Closest atoms and distances in Å follow each position.
Positions (direct):
As: 0.0000 0.0000 0.0000  4 Br 2.62
Br: 0.1672 0.8328 0.5000  4 Br 2.92-2.94
Br: 0.3660 0.6340 0.0000  2 As 2.62
Br: 0.5000 0.5000 0.5000  4 Br 2.94
Br: 0.6340 0.3660 0.0000  2 As 2.62
Br: 0.8328 0.1672 0.5000  4 Br 2.92-2.94

## TbSmIrPb (GGA-PBE)

Data for TbSmIrPb after structural relaxation.

Computed properties:
Raw total energy = -5.920 eV/atom
Mass density = 11.843 g/cm³
Magnetization = 0.00 μB/f.u.

Lattice parameters (Å, degrees): 5.1991 5.1991 5.1991 60.00 60.00 60.00
Closest atoms and distances in Å follow each position.
Positions (direct):
Tb: 0.0000 0.0000 0.0000  4 Pb 3.18, 4 Ir 3.18
Sm: 0.5000 0.5000 0.5000  4 Ir 3.18, 4 Pb 3.18
Ir: 0.2500 0.2500 0.2500  4 Sm 3.18, 4 Tb 3.18
Pb: 0.7500 0.7500 0.7500  4 Sm 3.18, 4 Tb 3.18

Number 5 is which compound? AsBr5

Please write out number 3 again, unchanged.
## Sm6Bi3SbAs2 (GGA-PBE)

Data for Sm6Bi3SbAs2 after structural relaxation.

Computed properties:
Mass density = 8.120 g/cm³
Magnetization = 0.00 μB/f.u.
Formation energy from raw total energies = -1.15 eV per atom

Lattice parameters (Å, degrees): 9.9158 9.9158 8.8932 103.43 103.43 25.70
Closest atoms and distances in Å follow each position.
Positions (direct):
Sm: 0.0075 0.0075 0.2505  1 As 3.02, 2 Sb 3.11, 3 Bi 3.16-3.22
Sm: 0.3279 0.3279 0.4290  3 As 3.00-3.03, 3 Bi 3.23-3.24
Sm: 0.3323 0.3323 0.9007  2 As 3.04, 1 Sb 3.15, 3 Bi 3.17-3.23
Sm: 0.6677 0.6677 0.0993  2 As 3.04, 1 Sb 3.15, 3 Bi 3.17-3.23
Sm: 0.6721 0.6721 0.5710  3 As 3.00-3.03, 3 Bi 3.23-3.24
Sm: 0.9925 0.9925 0.7495  1 As 3.02, 2 Sb 3.11, 3 Bi 3.16-3.22
Bi: 0.1640 0.1640 0.8316  6 Sm 3.17-3.23
Bi: 0.5000 0.5000 0.5000  6 Sm 3.16-3.24
Bi: 0.8360 0.8360 0.1684  6 Sm 3.17-3.23
Sb: 0.5000 0.5000 0.0000  6 Sm 3.11-3.15
As: 0.1682 0.1682 0.3349  6 Sm 3.00-3.04
As: 0.8318 0.8318 0.6651  6 Sm 3.00-3.04

Number 4 is which compound? BaZnInAg